No. 1
Na2SrSm | PBE-GGA | optimized geometry

Geometry as CIF:
```
data_Na2SrSm
_cell_length_a 3.704
_cell_length_b 3.704
_cell_length_c 13.895
_cell_angle_alpha 82.34
_cell_angle_beta 82.34
_cell_angle_gamma 60.00
_space_group_name_H-M_alt 'P 1'
_space_group_IT_number 1
loop_
_space_group_symop_operation_xyz
'x,y,z'
loop_
_atom_site_label
_atom_site_type_symbol
_atom_site_fract_x
_atom_site_fract_y
_atom_site_fract_z
Sm1 Sm 0.000 0.000 0.000
Na1 Na 0.085 0.085 0.745
Na2 Na 0.915 0.915 0.255
Sr1 Sr 0.500 0.500 0.500
```

Values from the calculation:
Energy relative to the elements, meV/atom: 309
Fermi-level density of states, states/eV/atom: 1.12
Electronic total energy, hartree per atom: -0.0717

No. 2
Pm4Y7Th | PBE-GGA | optimized geometry

Geometry as CIF:
```
data_Pm4Y7Th
_cell_length_a 5.977
_cell_length_b 11.742
_cell_length_c 6.806
_cell_angle_alpha 83.48
_cell_angle_beta 63.95
_cell_angle_gamma 75.25
_space_group_name_H-M_alt 'P 1'
_space_group_IT_number 1
loop_
_space_group_symop_operation_xyz
'x,y,z'
loop_
_atom_site_label
_atom_site_type_symbol
_atom_site_fract_x
_atom_site_fract_y
_atom_site_fract_z
Pm1 Pm 0.641 0.223 0.495
Y1 Y 0.066 0.685 0.183
Y2 Y 0.213 0.077 0.497
Y3 Y 0.934 0.315 0.817
Pm2 Pm 0.359 0.777 0.505
Y4 Y 0.632 0.504 0.232
Y5 Y 0.787 0.923 0.503
Pm3 Pm 0.772 0.669 0.788
Y6 Y 0.500 0.000 0.000
Pm4 Pm 0.228 0.331 0.212
Th1 Th 0.000 0.000 0.000
Y7 Y 0.368 0.496 0.768
```

Values from the calculation:
Energy relative to the elements, meV/atom: 300
Fermi-level density of states, states/eV/atom: 1.62
Energy above the lowest structure with this stoichiometry, meV per atom: 206
Electronic total energy, hartree per atom: -0.2085

No. 3
SmZn9Ag2 | PBE-GGA | optimized geometry

Geometry as CIF:
```
data_SmZn9Ag2
_cell_length_a 3.065
_cell_length_b 8.832
_cell_length_c 8.832
_cell_angle_alpha 120.00
_cell_angle_beta 90.00
_cell_angle_gamma 90.00
_space_group_name_H-M_alt 'P 1'
_space_group_IT_number 1
loop_
_space_group_symop_operation_xyz
'x,y,z'
loop_
_atom_site_label
_atom_site_type_symbol
_atom_site_fract_x
_atom_site_fract_y
_atom_site_fract_z
Zn1 Zn 0.000 0.500 0.500
Zn2 Zn 0.500 0.819 0.181
Zn3 Zn 0.500 0.181 0.362
Zn4 Zn 0.500 0.819 0.638
Ag1 Ag 0.000 0.667 0.333
Ag2 Ag 0.000 0.333 0.667
Sm1 Sm 0.000 0.000 0.000
Zn5 Zn 0.500 0.362 0.181
Zn6 Zn 0.000 0.000 0.500
Zn7 Zn 0.500 0.181 0.819
Zn8 Zn 0.500 0.638 0.819
Zn9 Zn 0.000 0.500 0.000
```

Values from the calculation:
Energy relative to the elements, meV/atom: -70
Fermi-level density of states, states/eV/atom: 0.35
Energy above the lowest structure with this stoichiometry, meV per atom: 71
Electronic total energy, hartree per atom: -0.0696

No. 4
Ca4TlIn2 | PBE-GGA | optimized geometry

Geometry as CIF:
```
data_Ca4TlIn2
_cell_length_a 5.432
_cell_length_b 5.432
_cell_length_c 9.456
_cell_angle_alpha 73.31
_cell_angle_beta 73.31
_cell_angle_gamma 60.00
_space_group_name_H-M_alt 'P 1'
_space_group_IT_number 1
loop_
_space_group_symop_operation_xyz
'x,y,z'
loop_
_atom_site_label
_atom_site_type_symbol
_atom_site_fract_x
_atom_site_fract_y
_atom_site_fract_z
Ca1 Ca 0.377 0.377 0.868
Ca2 Ca 0.623 0.623 0.132
Ca3 Ca 0.126 0.126 0.621
Tl1 Tl 0.000 0.000 0.000
In1 In 0.749 0.749 0.752
Ca4 Ca 0.874 0.874 0.379
In2 In 0.251 0.251 0.248
```

Values from the calculation:
Energy relative to the elements, meV/atom: -359
Fermi-level density of states, states/eV/atom: 1.11
Energy above the lowest structure with this stoichiometry, meV per atom: 0
Electronic total energy, hartree per atom: -0.0964

No. 5
Sm4CoPtBr2 | PBE-GGA | optimized geometry

Geometry as CIF:
```
data_Sm4CoPtBr2
_cell_length_a 4.060
_cell_length_b 7.112
_cell_length_c 8.029
_cell_angle_alpha 107.20
_cell_angle_beta 90.00
_cell_angle_gamma 90.00
_space_group_name_H-M_alt 'P 1'
_space_group_IT_number 1
loop_
_space_group_symop_operation_xyz
'x,y,z'
loop_
_atom_site_label
_atom_site_type_symbol
_atom_site_fract_x
_atom_site_fract_y
_atom_site_fract_z
Sm1 Sm 0.500 0.750 0.806
Sm2 Sm 0.000 0.719 0.192
Co1 Co 0.500 0.500 0.000
Sm3 Sm 0.500 0.250 0.194
Br1 Br 0.500 0.000 0.500
Sm4 Sm 0.000 0.281 0.808
Br2 Br 0.000 0.500 0.500
Pt1 Pt 0.000 0.000 0.000
```

Values from the calculation:
E_form (uncorrected), kcal/mol of atoms: -22.92
Fermi-level density of states, states/eV/atom: 0.56
Electronic total energy, hartree per atom: -0.1990

No. 6
Pr2SmDySe5 | PBE-GGA | optimized geometry

Geometry as CIF:
```
data_Pr2SmDySe5
_cell_length_a 5.141
_cell_length_b 5.141
_cell_length_c 10.911
_cell_angle_alpha 90.00
_cell_angle_beta 90.00
_cell_angle_gamma 90.00
_space_group_name_H-M_alt 'P 1'
_space_group_IT_number 1
loop_
_space_group_symop_operation_xyz
'x,y,z'
loop_
_atom_site_label
_atom_site_type_symbol
_atom_site_fract_x
_atom_site_fract_y
_atom_site_fract_z
Se1 Se 0.000 0.500 0.500
Se2 Se 0.000 0.000 0.752
Pr1 Pr 0.500 0.500 0.321
Se3 Se 0.500 0.500 0.000
Se4 Se 0.000 0.000 0.248
Sm1 Sm 0.000 0.000 0.000
Dy1 Dy 0.000 0.000 0.500
Se5 Se 0.500 0.000 0.500
Pr2 Pr 0.500 0.500 0.679
```

Values from the calculation:
E_form (uncorrected), kcal/mol of atoms: -29.96
Fermi-level density of states, states/eV/atom: 0.68
Electronic total energy, hartree per atom: -0.1960

No. 7
KCaScOs2 | PBE-GGA | optimized geometry

Geometry as CIF:
```
data_KCaScOs2
_cell_length_a 4.925
_cell_length_b 4.879
_cell_length_c 4.925
_cell_angle_alpha 90.00
_cell_angle_beta 90.00
_cell_angle_gamma 90.00
_space_group_name_H-M_alt 'P 1'
_space_group_IT_number 1
loop_
_space_group_symop_operation_xyz
'x,y,z'
loop_
_atom_site_label
_atom_site_type_symbol
_atom_site_fract_x
_atom_site_fract_y
_atom_site_fract_z
Os1 Os 0.000 0.000 0.500
K1 K 0.000 0.500 0.000
Ca1 Ca 0.000 0.000 0.000
Os2 Os 0.500 0.000 0.000
Sc1 Sc 0.500 0.500 0.500
```

Values from the calculation:
Energy relative to the elements, meV/atom: 1946
Fermi-level density of states, states/eV/atom: 1.01
Electronic total energy, hartree per atom: -0.1629

No. 8
BaLa2Se | PBE-GGA | optimized geometry

Geometry as CIF:
```
data_BaLa2Se
_cell_length_a 3.915
_cell_length_b 5.770
_cell_length_c 5.798
_cell_angle_alpha 90.00
_cell_angle_beta 90.00
_cell_angle_gamma 90.00
_space_group_name_H-M_alt 'P 1'
_space_group_IT_number 1
loop_
_space_group_symop_operation_xyz
'x,y,z'
loop_
_atom_site_label
_atom_site_type_symbol
_atom_site_fract_x
_atom_site_fract_y
_atom_site_fract_z
La1 La 0.500 0.500 0.000
Se1 Se 0.500 0.000 0.500
La2 La 0.000 0.000 0.000
Ba1 Ba 0.000 0.500 0.500
```

Values from the calculation:
E_form (uncorrected), kcal/mol of atoms: -10.89
Fermi-level density of states, states/eV/atom: 0.94
Electronic total energy, hartree per atom: -0.1576

No. 9
GdAl2Sn | PBE-GGA | optimized geometry

Geometry as CIF:
```
data_GdAl2Sn
_cell_length_a 4.397
_cell_length_b 4.449
_cell_length_c 4.449
_cell_angle_alpha 90.00
_cell_angle_beta 90.00
_cell_angle_gamma 90.00
_space_group_name_H-M_alt 'P 1'
_space_group_IT_number 1
loop_
_space_group_symop_operation_xyz
'x,y,z'
loop_
_atom_site_label
_atom_site_type_symbol
_atom_site_fract_x
_atom_site_fract_y
_atom_site_fract_z
Al1 Al 0.000 0.000 0.500
Gd1 Gd 0.500 0.500 0.500
Sn1 Sn 0.500 0.000 0.000
Al2 Al 0.000 0.500 0.000
```

Values from the calculation:
Energy relative to the elements, meV/atom: -406
Fermi-level density of states, states/eV/atom: 0.41
Electronic total energy, hartree per atom: -0.2498

No. 10
Ca2OsPb | PBE-GGA | optimized geometry

Geometry as CIF:
```
data_Ca2OsPb
_cell_length_a 3.528
_cell_length_b 3.528
_cell_length_c 8.596
_cell_angle_alpha 90.00
_cell_angle_beta 90.00
_cell_angle_gamma 90.00
_space_group_name_H-M_alt 'P 1'
_space_group_IT_number 1
loop_
_space_group_symop_operation_xyz
'x,y,z'
loop_
_atom_site_label
_atom_site_type_symbol
_atom_site_fract_x
_atom_site_fract_y
_atom_site_fract_z
Pb1 Pb 0.500 0.500 0.695
Os1 Os 0.000 0.000 0.536
Ca1 Ca 0.000 0.000 0.946
Ca2 Ca 0.500 0.500 0.322
```

Values from the calculation:
Energy relative to the elements, meV/atom: 240
Fermi-level density of states, states/eV/atom: 0.55
Electronic total energy, hartree per atom: -0.1652